Here is an optimized crystal structure of RuPtNF2 from Alexandria. Energies are from PBE-GGA.

Cell and atoms, written as POSCAR:
```
RuPtNF2
1.0
-4.505 -0.584 -0.334
0.672 -3.782 -2.448
0.029 -1.994 3.088
Ru N Pt F
1 1 1 2
Cartesian
-1.902 -3.180 0.153
0.015 -0.997 1.544
0.000 0.000 0.000
0.336 -1.891 -1.224
-2.253 -0.292 -0.167
```

Results
The calculation puts the final energy at -4.9167 eV/atom. For the density of states at the Fermi level, the calculation gives 0.8487 states/eV per atom.



Here is an optimized crystal structure of Cs4Pu3AgBr12 from Alexandria. Energies are from PBE-GGA.

Cell and atoms, written as POSCAR:
```
Cs4Pu3AgBr12
1.0
10.117 0.000 0.000
-3.372 9.539 0.000
-3.372 -4.769 8.261
Cs Pu Ag Br
4 3 1 12
Cartesian
1.686 2.385 4.130
-1.686 -2.385 4.130
5.059 0.000 0.000
-1.686 4.769 0.000
3.372 -2.385 4.130
3.372 4.769 0.000
-3.372 2.385 4.130
0.000 0.000 0.000
-1.686 1.192 6.196
5.053 -3.573 6.189
1.691 -1.196 2.072
5.059 3.577 2.065
5.053 7.147 0.000
1.691 2.392 0.000
5.059 0.000 4.130
-1.686 4.769 4.130
1.686 -1.192 6.196
-5.053 3.573 6.189
1.686 5.962 2.065
-1.691 1.196 2.072
```

Results
The calculation puts the final energy at -4.9828 eV/atom. For the density of states at the Fermi level, the calculation gives 2.5663 states/eV per atom.



Here is an optimized crystal structure of PmDyGaSn from Alexandria. Energies are from PBE-GGA.

Cell and atoms, written as POSCAR:
```
PmDyGaSn
1.0
4.524 0.000 0.000
0.000 4.202 0.000
-2.262 0.000 5.655
Pm Dy Ga Sn
1 1 1 1
Cartesian
0.000 0.000 1.546
2.262 2.101 4.050
2.262 2.101 0.962
0.000 0.000 4.753
```

Results
The calculation puts the formation energy at -0.7058 eV per atom. For the density of states at the Fermi level, the calculation gives 0.9329 states/eV per atom.



> Which formula does entry 3 have?

PmDyGaSn